Material: MgZrTa2H
Method: DFT, GGA-PBEsol
State: relaxed

uncorrected energy = -5.55 eV per atom
N(E_F) = 5.57 states/eV/f.u.
theoretical density = 6.2 g cm⁻³

abc: 4.8302 4.8302 5.4818
angles: 90.00 90.00 90.00
Space group P4/mmm (No. 123)
Symmetry-distinct sites (fractional):
Mg 0.0000 0.0000 0.0000 [1 per cell]
Zr 0.0000 0.0000 0.5000 [1 per cell]
Ta 0.0000 0.5000 0.5000 [2 per cell]
H 0.5000 0.5000 0.0000 [1 per cell]